Compound: CaTlIn2Pd
Source: the Alexandria database
Functional: PBE
Structure: optimized geometry

Results
**ΔE_f**: -1.51 eV per formula unit
**Size of the total moment**: 0.0000 μB/atom
**Crystal system**: tetragonal

```
CaTlIn2Pd
1.0
-1.1273 -0.1403 -5.0711
-2.5391 -4.4817 0.6884
-4.5982 2.7504 0.9461
Tl Ca Pd In
1 1 1 2
Cartesian
-4.1323 -0.9358 -1.7183 Tl
-2.2991 1.3752 0.4730 Ca
0.0000 0.0000 0.0000 Pd
-1.2695 -2.2408 0.3442 In
-0.5636 -0.0701 -2.5355 In
```

Compound: CaTm2InPd4
Source: the Alexandria database
Functional: PBE
Structure: optimized geometry

Results
**ΔE_f**: -6.34 eV per formula unit
**Size of the total moment**: 0.0000 μB/atom
**Crystal system**: trigonal

```
CaTm2InPd4
1.0
4.8397 0.0000 0.0000
2.4198 4.1913 0.0000
2.4198 1.3971 7.9559
Ca Tm In Pd
1 2 1 4
Cartesian
0.0000 0.0000 0.0000 Ca
7.2595 4.1913 5.8848 Tm
2.4198 1.3971 2.0710 Tm
4.8397 2.7942 3.9779 In
4.8397 2.7942 6.8737 Pd
7.2595 4.1913 3.0259 Pd
2.4198 1.3971 4.9300 Pd
4.8397 2.7942 1.0822 Pd
```

Compound: CaY2InPd
Source: the Alexandria database
Functional: PBE
Structure: optimized geometry

Results
**ΔE_f**: -1.36 eV per formula unit
**Size of the total moment**: 0.0000 μB/atom
**Crystal system**: tetragonal

```
CaY2InPd
1.0
5.4420 0.0000 0.0000
0.0000 5.2482 0.0000
0.0000 0.0000 5.4420
Y Ca Pd In
2 1 1 1
Cartesian
0.0000 0.0000 2.7210 Y
2.7210 0.0000 0.0000 Y
2.7210 2.6241 2.7210 Ca
0.0000 0.0000 0.0000 Pd
0.0000 2.6241 0.0000 In
```

Compound: Ca2Zn2InPd5
Source: the Alexandria database
Functional: PBE
Structure: optimized geometry

Results
**ΔE_f**: -6.52 eV per formula unit
**Size of the total moment**: 0.0000 μB/atom
**Crystal system**: tetragonal

```
Ca2Zn2InPd5
1.0
3.7516 0.0000 0.0000
0.0000 9.8752 0.0000
0.0000 0.0000 9.8752
Ca Zn In Pd
4 4 2 10
Cartesian
0.0000 6.6666 1.7289 Ca
0.0000 3.2087 8.1463 Ca
0.0000 1.7289 3.2087 Ca
0.0000 8.1463 6.6666 Ca
0.0000 1.2155 6.1531 Zn
0.0000 8.6597 3.7221 Zn
0.0000 6.1531 8.6597 Zn
0.0000 3.7221 1.2155 Zn
0.0000 0.0000 0.0000 In
0.0000 4.9376 4.9376 In
1.8758 2.0393 0.6544 Pd
1.8758 7.8360 9.2209 Pd
1.8758 0.6544 7.8360 Pd
1.8758 6.9769 4.2832 Pd
1.8758 9.2209 2.0393 Pd
1.8758 2.8984 5.5920 Pd
1.8758 5.5920 6.9769 Pd
1.8758 4.2832 2.8984 Pd
1.8758 4.9376 0.0000 Pd
1.8758 0.0000 4.9376 Pd
```

Look up the size of the total moment of the first one.
0.0000 μB/atom

ΔE_f of number 4 (Ca2Zn2InPd5)?
-6.52 eV per formula unit